1.
An optimized crystal structure of AlSn6. Source: Alexandria, functional PBE-GGA.

Values from the calculation:
The density of states at the Fermi level is 0.742 states/eV/atom. The value obtained for the energy relative to the elements is 425 meV per atom. The value obtained for the density is 4.57 g/cm3. For the size of the total moment, the calculation gives 0.00 Bohr magnetons per cell.

Structure (extended XYZ):
```
7
Lattice="-4.065 4.065 4.065 4.065 -4.065 4.065 4.065 4.065 -4.065" Properties=species:S:1:pos:R:3 pbc="T T T"
Al 0.000 0.000 0.000
Sn 4.065 2.032 0.000
Sn 4.065 0.000 2.032
Sn 2.032 4.065 0.000
Sn 2.032 0.000 4.065
Sn 0.000 4.065 2.032
Sn 0.000 2.032 4.065
```



2.
An optimized crystal structure of TbPr2SmTm. Source: Alexandria, functional PBE-GGA.

Values from the calculation:
The density of states at the Fermi level is 1.233 states/eV/atom. The value obtained for the energy relative to the elements is 261 meV per atom. The value obtained for the density is 7.28 g/cm3. For the size of the total moment, the calculation gives 0.00 Bohr magnetons per cell.

Structure (extended XYZ):
```
10
Lattice="6.216 0.000 0.000 0.000 8.161 0.000 0.000 0.000 6.836" Properties=species:S:1:pos:R:3 pbc="T T T"
Tb 1.554 0.000 1.083
Tb 4.662 0.000 5.754
Pr 1.554 1.620 4.731
Pr 1.554 6.542 4.731
Pr 4.662 1.620 2.105
Pr 4.662 6.542 2.105
Sm 0.000 4.081 0.000
Sm 3.108 4.081 0.000
Tm 1.554 4.081 2.825
Tm 4.662 4.081 4.012
```



3.
An optimized crystal structure of Ti2BeSi. Source: Alexandria, functional PBE-GGA.

Values from the calculation:
The value obtained for the energy above the most stable polymorph in this dataset is 0 meV per atom. The formation energy without anion corrections is -0.53 eV/atom. The density of states at the Fermi level is 0.835 states/eV/atom. The value obtained for the density is 3.93 g/cm3. For the size of the total moment, the calculation gives 0.00 Bohr magnetons per cell.

Structure (extended XYZ):
```
8
Lattice="4.949 0.000 0.000 0.000 3.476 0.000 -2.451 0.000 6.525" Properties=species:S:1:pos:R:3 pbc="T T T"
Ti -0.060 0.869 2.819
Ti -1.219 0.869 6.014
Ti 3.718 2.607 0.511
Ti 2.559 2.607 3.706
Be 0.008 2.607 4.652
Be 2.491 0.869 1.873
Si 1.225 2.607 1.401
Si 1.273 0.869 5.124
```



4.
An optimized crystal structure of Ba3Li3Ag. Source: Alexandria, functional PBE-GGA.

Values from the calculation:
The density of states at the Fermi level is 0.708 states/eV/atom. The value obtained for the energy relative to the elements is -53 meV per atom. The value obtained for the density is 3.29 g/cm3. For the size of the total moment, the calculation gives 0.00 Bohr magnetons per cell.

Structure (extended XYZ):
```
7
Lattice="-2.448 2.494 11.159 2.448 -2.494 11.159 2.448 2.494 -11.159" Properties=species:S:1:pos:R:3 pbc="T T T"
Ba 0.000 0.000 0.000
Ba 0.000 0.000 8.197
Ba 0.000 2.494 4.325
Li 2.448 0.000 2.937
Li 0.000 0.000 12.384
Li 0.000 0.000 18.186
Ag 2.448 0.000 5.678
```